No. 1
Computed, not measured: an optimized crystal structure of Ga3Hg12I5 at the GGA-PBE level of DFT.

Properties
**Calculated volume**: 6101 Å³/cell
**DOS at the Fermi energy**: 0.39 states/eV/atom
**Energy relative to the elements, uncorrected**: 0.003 eV/atom

Lattice parameters (Å, degrees): 18.2724 18.2724 18.2724 90.00 90.00 90.00
Closest atoms and distances in Å follow each position.
Space group Ia-3d (No. 230)
Inequivalent atoms, fractional coordinates:
Ga 0.0000 0.2500 0.1250 x24  4 Hg 2.84
Hg 0.0156 0.0975 0.6512 x96  1 Ga 2.84, 1 Hg 3.12
I 0.0000 0.0000 0.0000 x16  6 Hg 3.30
I 0.0000 0.2500 0.3750 x24  4 Hg 3.23



No. 2
Computed, not measured: an optimized crystal structure of Ba3NaPt2O6 at the GGA-PBE level of DFT.

Properties
**Calculated volume**: 225 Å³/cell
**DOS at the Fermi energy**: 0.60 states/eV/atom
**Energy relative to the elements, uncorrected**: -1.317 eV/atom

Lattice parameters (Å, degrees): 6.1499 6.1499 6.8637 90.00 90.00 120.00
Closest atoms and distances in Å follow each position.
Space group P-3m1 (No. 164)
Inequivalent atoms, fractional coordinates:
Ba 0.0000 0.0000 0.0000 x1  6 O 2.70
Ba 0.3333 0.6667 0.6482 x2  9 O 3.00-3.10, 1 Pt 3.34
Na 0.0000 0.0000 0.5000 x1  6 O 2.29
Pt 0.3333 0.6667 0.1617 x2  3 O 1.98
O 0.1688 0.3375 0.2944 x6  1 Pt 1.98



No. 3
Computed, not measured: an optimized crystal structure of CrGa2IN at the GGA-PBE level of DFT.

Properties
**Calculated volume**: 112 Å³/cell
**DOS at the Fermi energy**: 0.49 states/eV/atom
**Energy relative to the elements, uncorrected**: 0.273 eV/atom

Lattice parameters (Å, degrees): 5.4727 5.4727 3.7296 90.00 90.00 90.00
Closest atoms and distances in Å follow each position.
Space group P4/mmm (No. 123)
Inequivalent atoms, fractional coordinates:
Cr 0.0000 0.0000 0.0000 x1  2 N 1.86
Ga 0.0000 0.5000 0.5000 x2  2 N 2.74
I 0.5000 0.5000 0.0000 x1  8 Ga 3.31
N 0.0000 0.0000 0.5000 x1  2 Cr 1.86



No. 4
Computed, not measured: an optimized crystal structure of Cu2Te at the GGA-PBE level of DFT.

Properties
**Calculated volume**: 217 Å³/cell
**DOS at the Fermi energy**: 0.37 states/eV/atom
**Energy relative to the elements, uncorrected**: 0.291 eV/atom

Lattice parameters (Å, degrees): 3.6895 3.6895 15.9762 90.00 90.00 90.00
Closest atoms and distances in Å follow each position.
Space group I4_1/amd (No. 141, origin choice 2)
Inequivalent atoms, fractional coordinates:
Cu 0.0000 0.2500 0.2997 x8  3 Cu 2.40-2.44
Te 0.0000 0.2500 0.8750 x4  8 Cu 2.87



No. 5
Computed, not measured: an optimized crystal structure of LaCo6 at the GGA-PBE level of DFT.

Properties
**Calculated volume**: 226 Å³/cell
**Calculated formation energy**: 43.41 kJ per mole of atoms
**DOS at the Fermi energy**: 1.81 states/eV/atom
**Offset from the most stable computed form**: 0.403 eV/atom

Lattice parameters (Å, degrees): 6.0931 6.0931 6.0931 90.00 90.00 90.00
Closest atoms and distances in Å follow each position.
Space group Im-3m (No. 229)
Inequivalent atoms, fractional coordinates:
La 0.0000 0.0000 0.0000 x2  24 Co 3.41
Co 0.0000 0.2500 0.5000 x12  4 Co 2.15



No. 6
Computed, not measured: an optimized crystal structure of In2HgSe at the GGA-PBE level of DFT.

Properties
**Calculated volume**: 108 Å³/cell
**DOS at the Fermi energy**: 0.24 states/eV/atom
**Offset from the most stable computed form**: 0.130 eV/atom
**Energy relative to the elements, uncorrected**: -0.119 eV/atom

Lattice parameters (Å, degrees): 3.7202 3.7202 7.7794 90.00 90.00 90.00
Closest atoms and distances in Å follow each position.
Space group P4mm (No. 99)
Inequivalent atoms, fractional coordinates:
In 0.0000 0.0000 0.0000 x1  4 Hg 3.30, 4 In 3.45, 1 Se 3.49
In 0.5000 0.5000 0.2862 x1  4 Se 2.92
Hg 0.5000 0.5000 0.7445 x1  5 In 3.30-3.57, 4 Se 3.49
Se 0.0000 0.0000 0.4490 x1  4 In 2.92



| no. | E_tot (eV per atom) |
| --- | --- |
| 1 | -1.020 |
| 2 | -5.394 |
| 3 | -4.838 |
| 4 | -3.487 |
| 5 | -6.345 |
| 6 | -2.435 |